(1)
## Ba2MgCl (GGA-PBE)

Data for a relaxed Ba2MgCl crystal.

```
data_Ba2MgCl
_chemical_formula_sum 'Ba8 Mg4 Cl4'
_cell_length_a 8.6690
_cell_length_b 8.6690
_cell_length_c 8.6690
_cell_angle_alpha 90.00
_cell_angle_beta 90.00
_cell_angle_gamma 90.00
_symmetry_space_group_name_H-M 'F m -3 m'
_symmetry_Int_Tables_number 225
_symmetry_space_group_name_Hall '-F 4 2 3'
loop_
_atom_site_label
_atom_site_fract_x
_atom_site_fract_y
_atom_site_fract_z
Ba1 0.2500 0.2500 0.2500
Mg1 0.0000 0.0000 0.0000
Cl1 0.0000 0.0000 0.5000
```

total moment = 1.0 μB per formula unit
calculated total energy = -0.178 Ry/atom
E_form (uncorrected) = -596 meV/atom

(2)
## PmEr2Al2 (GGA-PBE)

Data for a relaxed PmEr2Al2 crystal.

```
data_PmEr2Al2
_chemical_formula_sum 'Pm2 Er4 Al4'
_cell_length_a 3.6366
_cell_length_b 5.1920
_cell_length_c 13.5622
_cell_angle_alpha 90.00
_cell_angle_beta 97.71
_cell_angle_gamma 90.00
_symmetry_space_group_name_H-M 'P 1 21/m 1'
_symmetry_Int_Tables_number 11
loop_
_symmetry_equiv_pos_as_xyz
'x,y,z'
'-x,-y,-z'
'-x,y+1/2,-z'
'x,-y+1/2,z'
loop_
_atom_site_label
_atom_site_fract_x
_atom_site_fract_y
_atom_site_fract_z
Pm1 0.1437 0.2500 0.2896
Er1 0.0469 0.7500 0.0941
Er2 0.2325 0.7500 0.4660
Al1 0.3599 0.2500 0.7187
Al2 0.4527 0.7500 0.9056
```

total moment = 0.0 μB per formula unit
calculated total energy = -0.336 Ry/atom
formation enthalpy at 0 K = -0.299 eV/atom

(3)
## MnH6N2Cl2 (GGA-PBE)

Data for a relaxed MnH6N2Cl2 crystal.

```
data_MnH6N2Cl2
_chemical_formula_sum 'Mn2 H12 N4 Cl4'
_cell_length_a 8.3376
_cell_length_b 8.2981
_cell_length_c 3.8678
_cell_angle_alpha 90.00
_cell_angle_beta 94.12
_cell_angle_gamma 90.00
_symmetry_space_group_name_H-M 'C 1 2 1'
_symmetry_Int_Tables_number 5
loop_
_symmetry_equiv_pos_as_xyz
'x,y,z'
'-x,y,-z'
'x+1/2,y+1/2,z'
'-x+1/2,y+1/2,-z'
loop_
_atom_site_label
_atom_site_fract_x
_atom_site_fract_y
_atom_site_fract_z
Mn1 0.0000 0.0000 0.0000
H1 0.1874 0.4007 0.8327
H2 0.1869 0.5990 0.8344
H3 0.1896 0.4990 0.1996
N1 0.2358 0.4997 0.9617
Cl1 0.0000 0.2138 0.5000
Cl2 0.0000 0.7861 0.5000
```

total moment = 5.0 μB per formula unit
calculated total energy = -0.378 Ry/atom

(4)
## LaTcAsBr2 (GGA-PBE)

Data for a relaxed LaTcAsBr2 crystal.

```
data_LaTcAsBr2
_chemical_formula_sum 'La1 Tc1 As1 Br2'
_cell_length_a 5.6955
_cell_length_b 5.6955
_cell_length_c 5.9798
_cell_angle_alpha 90.00
_cell_angle_beta 90.00
_cell_angle_gamma 90.00
_symmetry_space_group_name_H-M 'P 4/m m m'
_symmetry_Int_Tables_number 123
_symmetry_space_group_name_Hall '-P 4 2'
loop_
_atom_site_label
_atom_site_fract_x
_atom_site_fract_y
_atom_site_fract_z
La1 0.0000 0.0000 0.0000
Tc1 0.5000 0.5000 0.5000
As1 0.0000 0.0000 0.5000
Br1 0.0000 0.5000 0.0000
```

total moment = 4.9 μB per formula unit
calculated total energy = -0.324 Ry/atom
E_form (uncorrected) = 245 meV/atom

(5)
## Dy2NiP (GGA-PBE)

Data for a relaxed Dy2NiP crystal.

```
data_Dy2NiP
_chemical_formula_sum 'Dy6 Ni3 P3'
_cell_length_a 3.7396
_cell_length_b 3.7396
_cell_length_c 25.0960
_cell_angle_alpha 90.00
_cell_angle_beta 90.00
_cell_angle_gamma 120.00
_symmetry_space_group_name_H-M 'R -3 m'
_symmetry_Int_Tables_number 166
_symmetry_space_group_name_Hall '-R 3 2"'
loop_
_atom_site_label
_atom_site_fract_x
_atom_site_fract_y
_atom_site_fract_z
Dy1 0.0000 0.0000 0.1013
Ni1 0.0000 0.0000 0.0000
P1 0.0000 0.0000 0.5000
```

total moment = 0.0 μB per formula unit
calculated total energy = -0.391 Ry/atom
formation enthalpy at 0 K = -0.219 eV/atom

(6)
## LiAl2GaSi (GGA-PBE)

Data for a relaxed LiAl2GaSi crystal.

```
data_LiAl2GaSi
_chemical_formula_sum 'Li1 Al2 Ga1 Si1'
_cell_length_a 4.6172
_cell_length_b 4.6172
_cell_length_c 4.3656
_cell_angle_alpha 90.00
_cell_angle_beta 90.00
_cell_angle_gamma 90.00
_symmetry_space_group_name_H-M 'P 4/m m m'
_symmetry_Int_Tables_number 123
_symmetry_space_group_name_Hall '-P 4 2'
loop_
_atom_site_label
_atom_site_fract_x
_atom_site_fract_y
_atom_site_fract_z
Li1 0.0000 0.0000 0.0000
Al1 0.0000 0.5000 0.0000
Ga1 0.5000 0.5000 0.5000
Si1 0.0000 0.0000 0.5000
```

total moment = 0.0 μB per formula unit
calculated total energy = -0.222 Ry/atom
E_form (uncorrected) = 550 meV/atom

(7)
## Ce2SmTh2 (GGA-PBE)

Data for a relaxed Ce2SmTh2 crystal.

```
data_Ce2SmTh2
_chemical_formula_sum 'Ce6 Sm3 Th6'
_cell_length_a 3.5112
_cell_length_b 3.5112
_cell_length_c 42.7686
_cell_angle_alpha 90.00
_cell_angle_beta 90.00
_cell_angle_gamma 120.00
_symmetry_space_group_name_H-M 'R -3 m'
_symmetry_Int_Tables_number 166
_symmetry_space_group_name_Hall '-R 3 2"'
loop_
_atom_site_label
_atom_site_fract_x
_atom_site_fract_y
_atom_site_fract_z
Ce1 0.0000 0.0000 0.1986
Sm1 0.0000 0.0000 0.0000
Th1 0.0000 0.0000 0.4030
```

total moment = 0.0 μB per formula unit
calculated total energy = -0.459 Ry/atom
formation enthalpy at 0 K = 0.036 eV/atom

(8)
## Ba2LiAl4Au3 (GGA-PBE)

Data for a relaxed Ba2LiAl4Au3 crystal.

```
data_Ba2LiAl4Au3
_chemical_formula_sum 'Ba2 Li1 Al4 Au3'
_cell_length_a 4.6494
_cell_length_b 4.6494
_cell_length_c 10.7333
_cell_angle_alpha 90.00
_cell_angle_beta 90.00
_cell_angle_gamma 90.00
_symmetry_space_group_name_H-M 'P -4 m 2'
_symmetry_Int_Tables_number 115
loop_
_symmetry_equiv_pos_as_xyz
'x,y,z'
'y,-x,-z'
'-x,-y,z'
'-y,x,-z'
'-x,y,z'
'-y,-x,-z'
'x,-y,z'
'y,x,-z'
loop_
_atom_site_label
_atom_site_fract_x
_atom_site_fract_y
_atom_site_fract_z
Ba1 0.0000 0.5000 0.2500
Li1 0.0000 0.0000 0.5000
Al1 0.0000 0.0000 0.0000
Al2 0.0000 0.5000 0.6253
Al3 0.5000 0.5000 0.0000
Au1 0.0000 0.5000 0.8753
Au2 0.5000 0.5000 0.5000
```

total moment = 0.1 μB per formula unit
calculated total energy = -0.260 Ry/atom
formation enthalpy at 0 K = -0.479 eV/atom

(9)
## MnBSe2Br (GGA-PBE)

Data for a relaxed MnBSe2Br crystal.

```
data_MnBSe2Br
_chemical_formula_sum 'Mn1 B1 Se2 Br1'
_cell_length_a 4.4850
_cell_length_b 4.4850
_cell_length_c 4.5483
_cell_angle_alpha 90.00
_cell_angle_beta 90.00
_cell_angle_gamma 90.00
_symmetry_space_group_name_H-M 'P 4/m m m'
_symmetry_Int_Tables_number 123
_symmetry_space_group_name_Hall '-P 4 2'
loop_
_atom_site_label
_atom_site_fract_x
_atom_site_fract_y
_atom_site_fract_z
Mn1 0.0000 0.0000 0.0000
B1 0.5000 0.5000 0.5000
Se1 0.0000 0.5000 0.5000
Br1 0.5000 0.5000 0.0000
```

total moment = 0.0 μB per formula unit
calculated total energy = -0.273 Ry/atom
E_form (uncorrected) = 1189 meV/atom

(10)
## Ho2PI2 (GGA-PBE)

Data for a relaxed Ho2PI2 crystal.

```
data_Ho2PI2
_chemical_formula_sum 'Ho6 P3 I6'
_cell_length_a 4.0881
_cell_length_b 4.0881
_cell_length_c 34.3194
_cell_angle_alpha 90.00
_cell_angle_beta 90.00
_cell_angle_gamma 120.00
_symmetry_space_group_name_H-M 'R -3 m'
_symmetry_Int_Tables_number 166
_symmetry_space_group_name_Hall '-R 3 2"'
loop_
_atom_site_label
_atom_site_fract_x
_atom_site_fract_y
_atom_site_fract_z
Ho1 0.0000 0.0000 0.1239
P1 0.0000 0.0000 0.5000
I1 0.0000 0.0000 0.2690
```

total moment = 0.0 μB per formula unit
calculated total energy = -0.371 Ry/atom
E_form (uncorrected) = -1515 meV/atom

(11)
## Mg2Mo (GGA-PBE)

Data for a relaxed Mg2Mo crystal.

```
data_Mg2Mo
_chemical_formula_sum 'Mg8 Mo4'
_cell_length_a 11.1863
_cell_length_b 2.8064
_cell_length_c 7.2749
_cell_angle_alpha 90.00
_cell_angle_beta 104.67
_cell_angle_gamma 90.00
_symmetry_space_group_name_H-M 'C 1 m 1'
_symmetry_Int_Tables_number 8
loop_
_symmetry_equiv_pos_as_xyz
'x,y,z'
'x,-y,z'
'x+1/2,y+1/2,z'
'x+1/2,-y+1/2,z'
loop_
_atom_site_label
_atom_site_fract_x
_atom_site_fract_y
_atom_site_fract_z
Mg1 0.0000 0.0000 0.0000
Mg2 0.0563 0.0000 0.6217
Mg3 0.2328 0.5000 0.9579
Mg4 0.3950 0.0000 0.3007
Mo1 0.1723 0.5000 0.3434
Mo2 0.3213 0.0000 0.6561
```

total moment = 0.0 μB per formula unit
calculated total energy = -0.320 Ry/atom
formation enthalpy at 0 K = 0.323 eV/atom

(12)
## Ac2In3 (GGA-PBE)

Data for a relaxed Ac2In3 crystal.

```
data_Ac2In3
_chemical_formula_sum 'Ac6 In9'
_cell_length_a 5.3681
_cell_length_b 5.3681
_cell_length_c 20.2526
_cell_angle_alpha 90.00
_cell_angle_beta 90.00
_cell_angle_gamma 120.00
_symmetry_space_group_name_H-M 'R -3 m'
_symmetry_Int_Tables_number 166
_symmetry_space_group_name_Hall '-R 3 2"'
loop_
_atom_site_label
_atom_site_fract_x
_atom_site_fract_y
_atom_site_fract_z
Ac1 0.0000 0.0000 0.0959
In1 0.0000 0.0000 0.3317
In2 0.0000 0.0000 0.5000
```

total moment = 0.0 μB per formula unit
calculated total energy = -0.267 Ry/atom
formation enthalpy at 0 K = -0.340 eV/atom

Number 1: DOS(E_F) 0.889 states/eV per atom. Number 2: DOS(E_F) 0.689 states/eV per atom. Number 3: DOS(E_F) 0.000 states/eV per atom. Number 4: DOS(E_F) 0.657 states/eV per atom. Number 5: DOS(E_F) 0.853 states/eV per atom. Number 6: DOS(E_F) 0.393 states/eV per atom. Number 7: DOS(E_F) 1.927 states/eV per atom. Number 8: DOS(E_F) 0.746 states/eV per atom. Number 9: DOS(E_F) 1.179 states/eV per atom. Number 10: DOS(E_F) 0.295 states/eV per atom. Number 11: DOS(E_F) 0.725 states/eV per atom. Number 12: DOS(E_F) 0.963 states/eV per atom.